VASP calculation (PBE with a Hubbard U) on an optimized crystal structure of Co3B7IO13.

space group = No. 219
E = -347.7 eV for the cell shown

a b c (Å): 8.6430 8.6430 8.6430
angles (deg): 60.00 60.00 60.00
With the nearest neighbours (Å) after each atom.
Element x y z (fractional)
Co 0.0000 0.5000 0.0000  4 O 2.07
Co 0.5000 0.0000 0.5000  4 O 2.07
Co 0.5000 0.0000 0.0000  4 O 2.07
Co 0.0000 0.5000 0.5000  4 O 2.07
Co 0.0000 0.0000 0.5000  4 O 2.07
Co 0.5000 0.5000 0.0000  4 O 2.07
B 0.0802 0.0802 0.0802  3 O 1.44
B 0.7500 0.7500 0.2500  4 O 1.48
B 0.2500 0.7500 0.2500  4 O 1.48
B 0.5802 0.5802 0.5802  3 O 1.44
B 0.7594 0.0802 0.0802  3 O 1.44
B 0.2500 0.2500 0.7500  4 O 1.48
B 0.7500 0.2500 0.2500  4 O 1.48
B 0.7500 0.2500 0.7500  4 O 1.48
B 0.0802 0.0802 0.7594  3 O 1.44
B 0.5802 0.2594 0.5802  3 O 1.44
B 0.2500 0.7500 0.7500  4 O 1.48
B 0.0802 0.7594 0.0802  3 O 1.44
B 0.5802 0.5802 0.2594  3 O 1.44
B 0.2594 0.5802 0.5802  3 O 1.44
O 0.2030 0.7569 0.6036  2 B 1.44-1.48
O 0.7030 0.1036 0.2569  2 B 1.44-1.48
O 0.5000 0.5000 0.5000  4 B 1.70
O 0.4364 0.7569 0.2030  2 B 1.44-1.48
O 0.1036 0.2569 0.7030  2 B 1.44-1.48
O 0.2569 0.7030 0.1036  2 B 1.44-1.48
O 0.4364 0.2030 0.6036  2 B 1.44-1.48
O 0.6036 0.7569 0.4364  2 B 1.44-1.48
O 0.7569 0.2030 0.4364  2 B 1.44-1.48
O 0.7569 0.6036 0.2030  2 B 1.44-1.48
O 0.0000 0.0000 0.0000  4 B 1.70
O 0.1036 0.9364 0.2569  2 B 1.44-1.48
O 0.2569 0.9364 0.7030  2 B 1.44-1.48
O 0.6036 0.2030 0.7569  2 B 1.44-1.48
O 0.7030 0.9364 0.1036  2 B 1.44-1.48
O 0.1036 0.7030 0.9364  2 B 1.44-1.48
O 0.9364 0.7030 0.2569  2 B 1.44-1.48
O 0.2569 0.1036 0.9364  2 B 1.44-1.48
O 0.7569 0.4364 0.6036  2 B 1.44-1.48
O 0.7030 0.2569 0.9364  2 B 1.44-1.48
O 0.2030 0.4364 0.7569  2 B 1.44-1.48
O 0.2030 0.6036 0.4364  2 B 1.44-1.48
O 0.6036 0.4364 0.2030  2 B 1.44-1.48
O 0.9364 0.2569 0.1036  2 B 1.44-1.48
O 0.4364 0.6036 0.7569  2 B 1.44-1.48
O 0.9364 0.1036 0.7030  2 B 1.44-1.48
I 0.7500 0.7500 0.7500  6 Co 3.06
I 0.2500 0.2500 0.2500  6 Co 3.06